No. 1
Below is an optimized crystal structure of SrPmHo2, with properties calculated at the PBE level.

Summary:
**Total magnetization**: 0.001 Bohr magnetons per cell
**Fermi-level density of states**: 5.6 states/eV/f.u.
**Total DFT energy (no corrections)**: -3.77 eV/atom

a = 3.6844 Å, b = 3.6844 Å, c = 36.4444 Å
α = 90.00°, β = 90.00°, γ = 120.00°
Space group R3m (No. 160, hexagonal axes)
Inequivalent atoms, fractional coordinates:
Sr: 0.0000 0.0000 0.0000 (multiplicity 3)
Pm: 0.0000 0.0000 0.8343 (multiplicity 3)
Ho: 0.0000 0.0000 0.2449 (multiplicity 3)
Ho: 0.0000 0.0000 0.4228 (multiplicity 3)

No. 2
Below is an optimized crystal structure of Li2BiPt2, with properties calculated at the PBE level.

Summary:
**Total magnetization**: 0.000 Bohr magnetons per cell
**Fermi-level density of states**: 1.6 states/eV/f.u.
**Total DFT energy (no corrections)**: -4.18 eV/atom

a = 3.7262 Å, b = 3.7262 Å, c = 13.0638 Å
α = 90.00°, β = 90.00°, γ = 90.00°
Space group I4/mmm (No. 139)
Inequivalent atoms, fractional coordinates:
Li: 0.0000 0.5000 0.2500 (multiplicity 4)
Bi: 0.0000 0.0000 0.0000 (multiplicity 2)
Pt: 0.0000 0.0000 0.3921 (multiplicity 4)

No. 3
Below is an optimized crystal structure of Tc2PW, with properties calculated at the PBE level.

Summary:
**Total magnetization**: 0.000 Bohr magnetons per cell
**Fermi-level density of states**: 2.3 states/eV/f.u.
**Total DFT energy (no corrections)**: -8.98 eV/atom

a = 5.8007 Å, b = 5.8007 Å, c = 9.4995 Å
α = 90.00°, β = 90.00°, γ = 90.00°
Space group I-42d (No. 122)
Inequivalent atoms, fractional coordinates:
Tc: 0.2241 0.2500 0.1250 (multiplicity 8)
P: 0.0000 0.0000 0.0000 (multiplicity 4)
W: 0.0000 0.0000 0.5000 (multiplicity 4)

No. 4
Below is an optimized crystal structure of SrCa2Ga2, with properties calculated at the PBE level.

Summary:
**Total magnetization**: 0.000 Bohr magnetons per cell
**Fermi-level density of states**: 3.0 states/eV/f.u.
**Total DFT energy (no corrections)**: -2.68 eV/atom

a = 12.0487 Å, b = 4.4674 Å, c = 6.1266 Å
α = 90.00°, β = 101.04°, γ = 90.00°
Space group C2/m (No. 12)
Inequivalent atoms, fractional coordinates:
Sr: 0.0000 0.0000 0.0000 (multiplicity 2)
Ca: 0.1559 0.5000 0.5926 (multiplicity 4)
Ga: 0.2261 0.5000 0.1103 (multiplicity 4)

No. 5
Below is an optimized crystal structure of Tb2Pm6DyEr3, with properties calculated at the PBE level.

Summary:
**Total magnetization**: 0.000 Bohr magnetons per cell
**Fermi-level density of states**: 13.8 states/eV/f.u.
**Total DFT energy (no corrections)**: -4.66 eV/atom

a = 6.2443 Å, b = 10.7753 Å, c = 11.8139 Å
α = 90.00°, β = 99.90°, γ = 90.00°
Space group C2/m (No. 12)
Inequivalent atoms, fractional coordinates:
Tb: 0.0000 0.1667 0.0000 (multiplicity 4)
Pm: 0.2490 0.1666 0.7487 (multiplicity 8)
Pm: 0.2488 0.5000 0.7487 (multiplicity 4)
Dy: 0.0000 0.5000 0.0000 (multiplicity 2)
Er: 0.0000 0.0000 0.5000 (multiplicity 2)
Er: 0.0000 0.3333 0.5000 (multiplicity 4)

No. 6
Below is an optimized crystal structure of Ti2AsRu, with properties calculated at the PBE level.

Summary:
**Total magnetization**: 0.000 Bohr magnetons per cell
**Fermi-level density of states**: 4.1 states/eV/f.u.
**Total DFT energy (no corrections)**: -7.63 eV/atom

a = 6.9036 Å, b = 6.9036 Å, c = 5.5343 Å
α = 90.00°, β = 90.00°, γ = 90.00°
Space group I-42d (No. 122)
Inequivalent atoms, fractional coordinates:
Ti: 0.2391 0.7500 0.1250 (multiplicity 8)
As: 0.0000 0.0000 0.5000 (multiplicity 4)
Ru: 0.0000 0.0000 0.0000 (multiplicity 4)

No. 7
Below is an optimized crystal structure of BeFe3H, with properties calculated at the PBE level.

Summary:
**Total magnetization**: 6.801 Bohr magnetons per cell
**Fermi-level density of states**: 1.6 states/eV/f.u.
**Total DFT energy (no corrections)**: -6.54 eV/atom

a = 3.5710 Å, b = 3.5710 Å, c = 3.5710 Å
α = 90.00°, β = 90.00°, γ = 90.00°
Space group Pm-3m (No. 221)
Inequivalent atoms, fractional coordinates:
Be: 0.0000 0.0000 0.0000 (multiplicity 1)
Fe: 0.0000 0.5000 0.5000 (multiplicity 3)
H: 0.5000 0.5000 0.5000 (multiplicity 1)

No. 8
Below is an optimized crystal structure of MnSb2Au, with properties calculated at the PBE level.

Summary:
**Total magnetization**: 10.050 Bohr magnetons per cell
**Fermi-level density of states**: 2.2 states/eV/f.u.
**Total DFT energy (no corrections)**: -5.07 eV/atom
**ΔE_f (raw)**: 104 meV per atom

a = 4.2486 Å, b = 4.2486 Å, c = 18.2911 Å
α = 90.00°, β = 90.00°, γ = 120.00°
Space group R3m (No. 160, hexagonal axes)
Inequivalent atoms, fractional coordinates:
Mn: 0.0000 0.0000 0.0000 (multiplicity 3)
Sb: 0.0000 0.0000 0.5364 (multiplicity 3)
Sb: 0.0000 0.0000 0.7318 (multiplicity 3)
Au: 0.0000 0.0000 0.2735 (multiplicity 3)

No. 9
Below is an optimized crystal structure of Tl2Re, with properties calculated at the PBE level.

Summary:
**Total magnetization**: 2.884 Bohr magnetons per cell
**Fermi-level density of states**: 2.3 states/eV/f.u.
**Total DFT energy (no corrections)**: -4.32 eV/atom

a = 5.0334 Å, b = 5.0334 Å, c = 6.0198 Å
α = 90.00°, β = 90.00°, γ = 120.00°
Space group P6_3/mmc (No. 194)
Inequivalent atoms, fractional coordinates:
Tl: 0.0000 0.0000 0.0000 (multiplicity 2)
Tl: 0.3333 0.6667 0.2500 (multiplicity 2)
Re: 0.3333 0.6667 0.7500 (multiplicity 2)

No. 10
Below is an optimized crystal structure of Sm2MgAl3Pd4, with properties calculated at the PBE level.

Summary:
**Total magnetization**: 0.000 Bohr magnetons per cell
**Fermi-level density of states**: 6.4 states/eV/f.u.
**Total DFT energy (no corrections)**: -5.11 eV/atom

a = 4.3345 Å, b = 4.3345 Å, c = 10.4223 Å
α = 90.00°, β = 90.00°, γ = 90.00°
Space group P-4m2 (No. 115)
Inequivalent atoms, fractional coordinates:
Sm: 0.0000 0.5000 0.2404 (multiplicity 2)
Mg: 0.0000 0.0000 0.5000 (multiplicity 1)
Al: 0.0000 0.5000 0.8771 (multiplicity 2)
Al: 0.5000 0.5000 0.5000 (multiplicity 1)
Pd: 0.0000 0.0000 0.0000 (multiplicity 1)
Pd: 0.0000 0.5000 0.6395 (multiplicity 2)
Pd: 0.5000 0.5000 0.0000 (multiplicity 1)

No. 11
Below is an optimized crystal structure of Pr2Dy9Ho3, with properties calculated at the PBE level.

Summary:
**Total magnetization**: 0.000 Bohr magnetons per cell
**Fermi-level density of states**: 18.7 states/eV/f.u.
**Total DFT energy (no corrections)**: -4.26 eV/atom

a = 17.0593 Å, b = 8.9776 Å, c = 6.2473 Å
α = 90.00°, β = 92.93°, γ = 90.00°
Space group C2/m (No. 12)
Inequivalent atoms, fractional coordinates:
Pr: 0.0000 0.1958 0.0000 (multiplicity 4)
Dy: 0.0000 0.0000 0.5000 (multiplicity 2)
Dy: 0.1615 0.3388 0.8362 (multiplicity 8)
Dy: 0.1618 0.2090 0.3408 (multiplicity 8)
Ho: 0.0000 0.5000 0.5000 (multiplicity 2)
Ho: 0.1945 0.0000 0.8185 (multiplicity 4)

No. 12
Below is an optimized crystal structure of Ac3OsO8, with properties calculated at the PBE level.

Summary:
**Total magnetization**: 2.100 Bohr magnetons per cell
**Fermi-level density of states**: 4.3 states/eV/f.u.
**Total DFT energy (no corrections)**: -7.71 eV/atom
**ΔE_f (raw)**: -2446 meV per atom

a = 7.7060 Å, b = 7.7060 Å, c = 6.8421 Å
α = 90.00°, β = 90.00°, γ = 120.00°
Space group P6_3mc (No. 186)
Inequivalent atoms, fractional coordinates:
Ac: 0.1664 0.3329 0.0000 (multiplicity 6)
Os: 0.3333 0.6667 0.4555 (multiplicity 2)
O: 0.0000 0.0000 0.2907 (multiplicity 2)
O: 0.1000 0.5500 0.2939 (multiplicity 6)
O: 0.2091 0.4182 0.6008 (multiplicity 6)
O: 0.3333 0.6667 0.9404 (multiplicity 2)

Repeat the fourth record exactly.
Below is an optimized crystal structure of SrCa2Ga2, with properties calculated at the PBE level.

Summary:
**Total magnetization**: 0.000 Bohr magnetons per cell
**Fermi-level density of states**: 3.0 states/eV/f.u.
**Total DFT energy (no corrections)**: -2.68 eV/atom

a = 12.0487 Å, b = 4.4674 Å, c = 6.1266 Å
α = 90.00°, β = 101.04°, γ = 90.00°
Space group C2/m (No. 12)
Inequivalent atoms, fractional coordinates:
Sr: 0.0000 0.0000 0.0000 (multiplicity 2)
Ca: 0.1559 0.5000 0.5926 (multiplicity 4)
Ga: 0.2261 0.5000 0.1103 (multiplicity 4)

Among the records above, which one has the highest total DFT energy (no corrections)? SrCa2Ga2